No. 1
LaCo2Au: PBEsol geometry, meta-GGA SCAN.

Properties
Total magnetic moment (μB per cell): 3.3
ΔH_f (0 K) (eV per formula unit): 0.47

CIF file:
```
data_LaCo2Au
_chemical_formula_sum 'La1 Co2 Au1'
_cell_length_a 3.290
_cell_length_b 3.391
_cell_length_c 6.223
_cell_angle_alpha 90.00
_cell_angle_beta 90.00
_cell_angle_gamma 90.00
_symmetry_space_group_name_H-M 'P m m m'
_symmetry_Int_Tables_number 47
_symmetry_space_group_name_Hall '-P 2 2'
loop_
_atom_site_label
_atom_site_type_symbol
_atom_site_fract_x
_atom_site_fract_y
_atom_site_fract_z
La1 La 0.000 0.000 0.000
Co1 Co 0.500 0.500 0.313
Au1 Au 0.000 0.000 0.500
```


No. 2
MgNb2N: PBEsol geometry, meta-GGA SCAN.

Properties
Total magnetic moment (μB per cell): 0.0
Energy relative to the elements, uncorrected (eV/f.u.): 4.75

CIF file:
```
data_MgNb2N
_chemical_formula_sum 'Mg4 Nb8 N4'
_cell_length_a 6.139
_cell_length_b 6.139
_cell_length_c 6.139
_cell_angle_alpha 90.00
_cell_angle_beta 90.00
_cell_angle_gamma 90.00
_symmetry_space_group_name_H-M 'F m -3 m'
_symmetry_Int_Tables_number 225
_symmetry_space_group_name_Hall '-F 4 2 3'
loop_
_atom_site_label
_atom_site_type_symbol
_atom_site_fract_x
_atom_site_fract_y
_atom_site_fract_z
Mg1 Mg 0.000 0.000 0.000
Nb1 Nb 0.250 0.250 0.250
N1 N 0.000 0.000 0.500
```


No. 3
B3TeSe: PBEsol geometry, meta-GGA SCAN.

Properties
Total magnetic moment (μB per cell): 0.0
Energy relative to the elements, uncorrected (eV/f.u.): 11.02

CIF file:
```
data_B3TeSe
_chemical_formula_sum 'B3 Te1 Se1'
_cell_length_a 4.428
_cell_length_b 4.428
_cell_length_c 4.428
_cell_angle_alpha 90.00
_cell_angle_beta 90.00
_cell_angle_gamma 90.00
_symmetry_space_group_name_H-M 'P m -3 m'
_symmetry_Int_Tables_number 221
_symmetry_space_group_name_Hall '-P 4 2 3'
loop_
_atom_site_label
_atom_site_type_symbol
_atom_site_fract_x
_atom_site_fract_y
_atom_site_fract_z
B1 B 0.000 0.000 0.500
Te1 Te 0.000 0.000 0.000
Se1 Se 0.500 0.500 0.500
```


No. 4
RbFe2RuRh: PBEsol geometry, meta-GGA SCAN.

Properties
Total magnetic moment (μB per cell): 8.1
ΔH_f (0 K) (eV per formula unit): 14.37

CIF file:
```
data_RbFe2RuRh
_chemical_formula_sum 'Rb1 Fe2 Ru1 Rh1'
_cell_length_a 4.411
_cell_length_b 4.411
_cell_length_c 4.575
_cell_angle_alpha 90.00
_cell_angle_beta 90.00
_cell_angle_gamma 90.00
_symmetry_space_group_name_H-M 'P 4/m m m'
_symmetry_Int_Tables_number 123
_symmetry_space_group_name_Hall '-P 4 2'
loop_
_atom_site_label
_atom_site_type_symbol
_atom_site_fract_x
_atom_site_fract_y
_atom_site_fract_z
Rb1 Rb 0.000 0.000 0.000
Fe1 Fe 0.000 0.500 0.000
Ru1 Ru 0.500 0.500 0.500
Rh1 Rh 0.000 0.000 0.500
```


No. 5
Ba2LiTlC: PBEsol geometry, meta-GGA SCAN.

Properties
Total magnetic moment (μB per cell): 1.4
ΔH_f (0 K) (eV per formula unit): 0.94

CIF file:
```
data_Ba2LiTlC
_chemical_formula_sum 'Ba2 Li1 Tl1 C1'
_cell_length_a 5.729
_cell_length_b 5.729
_cell_length_c 4.296
_cell_angle_alpha 90.00
_cell_angle_beta 90.00
_cell_angle_gamma 90.00
_symmetry_space_group_name_H-M 'P 4/m m m'
_symmetry_Int_Tables_number 123
_symmetry_space_group_name_Hall '-P 4 2'
loop_
_atom_site_label
_atom_site_type_symbol
_atom_site_fract_x
_atom_site_fract_y
_atom_site_fract_z
Ba1 Ba 0.000 0.500 0.000
Li1 Li 0.000 0.000 0.500
Tl1 Tl 0.500 0.500 0.500
C1 C 0.000 0.000 0.000
```


No. 6
CsYCo2Ag: PBEsol geometry, meta-GGA SCAN.

Properties
Total magnetic moment (μB per cell): 2.3
ΔH_f (0 K) (eV per formula unit): 10.03

CIF file:
```
data_CsYCo2Ag
_chemical_formula_sum 'Cs1 Y1 Co2 Ag1'
_cell_length_a 4.599
_cell_length_b 4.599
_cell_length_c 5.423
_cell_angle_alpha 90.00
_cell_angle_beta 90.00
_cell_angle_gamma 90.00
_symmetry_space_group_name_H-M 'P 4/m m m'
_symmetry_Int_Tables_number 123
_symmetry_space_group_name_Hall '-P 4 2'
loop_
_atom_site_label
_atom_site_type_symbol
_atom_site_fract_x
_atom_site_fract_y
_atom_site_fract_z
Cs1 Cs 0.000 0.000 0.000
Y1 Y 0.000 0.000 0.500
Co1 Co 0.000 0.500 0.000
Ag1 Ag 0.500 0.500 0.500
```


No. 7
ZnHg2Rh: PBEsol geometry, meta-GGA SCAN.

Properties
Total magnetic moment (μB per cell): 0.0
ΔH_f (0 K) (eV per formula unit): 0.62

CIF file:
```
data_ZnHg2Rh
_chemical_formula_sum 'Zn1 Hg2 Rh1'
_cell_length_a 3.067
_cell_length_b 3.891
_cell_length_c 5.672
_cell_angle_alpha 90.00
_cell_angle_beta 90.00
_cell_angle_gamma 90.00
_symmetry_space_group_name_H-M 'P m m m'
_symmetry_Int_Tables_number 47
_symmetry_space_group_name_Hall '-P 2 2'
loop_
_atom_site_label
_atom_site_type_symbol
_atom_site_fract_x
_atom_site_fract_y
_atom_site_fract_z
Zn1 Zn 0.000 0.000 0.000
Hg1 Hg 0.500 0.500 0.252
Rh1 Rh 0.000 0.000 0.500
```


No. 8
AsIr2Cl: PBEsol geometry, meta-GGA SCAN.

Properties
Offset from the most stable computed form (meV per atom): 585.1
Total magnetic moment (μB per cell): 0.0
Energy relative to the elements, uncorrected (eV/f.u.): 3.78

CIF file:
```
data_AsIr2Cl
_chemical_formula_sum 'As1 Ir2 Cl1'
_cell_length_a 4.425
_cell_length_b 4.425
_cell_length_c 3.028
_cell_angle_alpha 90.00
_cell_angle_beta 90.00
_cell_angle_gamma 90.00
_symmetry_space_group_name_H-M 'P 4/m m m'
_symmetry_Int_Tables_number 123
_symmetry_space_group_name_Hall '-P 4 2'
loop_
_atom_site_label
_atom_site_type_symbol
_atom_site_fract_x
_atom_site_fract_y
_atom_site_fract_z
As1 As 0.000 0.000 0.000
Ir1 Ir 0.000 0.500 0.500
Cl1 Cl 0.500 0.500 0.000
```


No. 9
SrH2Ir: PBEsol geometry, meta-GGA SCAN.

Properties
Total magnetic moment (μB per cell): 0.0
Total DFT energy (no corrections) (eV per cell): -404.9

CIF file:
```
data_SrH2Ir
_chemical_formula_sum 'Sr4 H8 Ir4'
_cell_length_a 4.436
_cell_length_b 4.436
_cell_length_c 10.947
_cell_angle_alpha 90.00
_cell_angle_beta 90.00
_cell_angle_gamma 90.00
_symmetry_space_group_name_H-M 'I -4 2 d'
_symmetry_Int_Tables_number 122
_symmetry_space_group_name_Hall 'I -4 2bw'
loop_
_atom_site_label
_atom_site_type_symbol
_atom_site_fract_x
_atom_site_fract_y
_atom_site_fract_z
Sr1 Sr 0.000 0.000 0.000
H1 H 0.040 0.250 0.625
Ir1 Ir 0.000 0.000 0.500
```


No. 10
YTeMo2: PBEsol geometry, meta-GGA SCAN.

Properties
Total magnetic moment (μB per cell): 0.0
Energy relative to the elements, uncorrected (eV/f.u.): 0.17

CIF file:
```
data_YTeMo2
_chemical_formula_sum 'Y1 Te1 Mo2'
_cell_length_a 3.279
_cell_length_b 3.279
_cell_length_c 7.549
_cell_angle_alpha 90.00
_cell_angle_beta 90.00
_cell_angle_gamma 90.00
_symmetry_space_group_name_H-M 'P 4 m m'
_symmetry_Int_Tables_number 99
_symmetry_space_group_name_Hall 'P 4 -2'
loop_
_atom_site_label
_atom_site_type_symbol
_atom_site_fract_x
_atom_site_fract_y
_atom_site_fract_z
Y1 Y 0.000 0.000 0.000
Te1 Te 0.500 0.500 0.665
Mo1 Mo 0.000 0.000 0.440
Mo2 Mo 0.500 0.500 0.262
```


No. 11
LaIrBr2: PBEsol geometry, meta-GGA SCAN.

Properties
Offset from the most stable computed form (meV per atom): 290.7
Total magnetic moment (μB per cell): 0.0
Energy relative to the elements, uncorrected (eV/f.u.): -0.59

CIF file:
```
data_LaIrBr2
_chemical_formula_sum 'La3 Ir3 Br6'
_cell_length_a 3.4588
_cell_length_b 3.4588
_cell_length_c 27.5733
_cell_angle_alpha 90.00
_cell_angle_beta 90.00
_cell_angle_gamma 120.00
_symmetry_space_group_name_H-M 'R -3 m'
_symmetry_Int_Tables_number 166
_symmetry_space_group_name_Hall '-R 3 2"'
loop_
_atom_site_label
_atom_site_type_symbol
_atom_site_fract_x
_atom_site_fract_y
_atom_site_fract_z
La1 La 0.0000 0.0000 0.0000
Ir1 Ir 0.0000 0.0000 0.5000
Br1 Br 0.0000 0.0000 0.4131
```


No. 12
SrTeF2: PBEsol geometry, meta-GGA SCAN.

Properties
Total magnetic moment (μB per cell): 1.4
Energy relative to the elements, uncorrected (eV/f.u.): -10.58

CIF file:
```
data_SrTeF2
_chemical_formula_sum 'Sr3 Te3 F6'
_cell_length_a 3.6044
_cell_length_b 3.6044
_cell_length_c 28.7662
_cell_angle_alpha 90.00
_cell_angle_beta 90.00
_cell_angle_gamma 120.00
_symmetry_space_group_name_H-M 'R -3 m'
_symmetry_Int_Tables_number 166
_symmetry_space_group_name_Hall '-R 3 2"'
loop_
_atom_site_label
_atom_site_type_symbol
_atom_site_fract_x
_atom_site_fract_y
_atom_site_fract_z
Sr1 Sr 0.0000 0.0000 0.0000
Te1 Te 0.0000 0.0000 0.5000
F1 F 0.0000 0.0000 0.3717
```


No. 13
Zn2PtAu: PBEsol geometry, meta-GGA SCAN.

Properties
Total magnetic moment (μB per cell): 0.0
ΔH_f (0 K) (eV per formula unit): -1.74

CIF file:
```
data_Zn2PtAu
_chemical_formula_sum 'Zn2 Pt1 Au1'
_cell_length_a 2.830
_cell_length_b 2.830
_cell_length_c 7.311
_cell_angle_alpha 90.00
_cell_angle_beta 90.00
_cell_angle_gamma 90.00
_symmetry_space_group_name_H-M 'P 4/m m m'
_symmetry_Int_Tables_number 123
_symmetry_space_group_name_Hall '-P 4 2'
loop_
_atom_site_label
_atom_site_type_symbol
_atom_site_fract_x
_atom_site_fract_y
_atom_site_fract_z
Zn1 Zn 0.000 0.000 0.237
Pt1 Pt 0.500 0.500 0.000
Au1 Au 0.500 0.500 0.500
```


No. 14
La3Rh: PBEsol geometry, meta-GGA SCAN.

Properties
Total magnetic moment (μB per cell): 0.0
ΔH_f (0 K) (eV per formula unit): -1.59

CIF file:
```
data_La3Rh
_chemical_formula_sum 'La9 Rh3'
_cell_length_a 3.9192
_cell_length_b 3.9192
_cell_length_c 28.4336
_cell_angle_alpha 90.00
_cell_angle_beta 90.00
_cell_angle_gamma 120.00
_symmetry_space_group_name_H-M 'R -3 m'
_symmetry_Int_Tables_number 166
_symmetry_space_group_name_Hall '-R 3 2"'
loop_
_atom_site_label
_atom_site_type_symbol
_atom_site_fract_x
_atom_site_fract_y
_atom_site_fract_z
La1 La 0.0000 0.0000 0.0000
La2 La 0.0000 0.0000 0.2252
Rh1 Rh 0.0000 0.0000 0.5000
```